# 1
First-principles (GGA-PBE) data for a relaxed structure of AcPr3Au2, as listed in Alexandria via LeMat-Bulk.

Summary:
DOS at the Fermi energy (states/eV/atom): 1.17
ΔE_f (eV per atom): -0.52
Space group: No. 26
Final energy (eV per atom): -4.687

abc: 4.0295 9.3556 10.2270
angles: 90.00 90.00 90.00
With the nearest neighbours (Å) after each atom.
Element x y z (fractional)
Pr1 0.0000 0.9912 0.0696  4 Au 3.20-3.30
Ac1 0.5000 0.0110 0.4201  4 Au 3.27-3.30
Pr2 0.0000 0.3382 0.2757  3 Au 3.00-3.19
Au1 0.5000 0.2707 0.0667  7 Pr 3.00-3.30
Au2 0.0000 0.7312 0.4281  3 Pr 3.05-3.19, 4 Ac 3.27-3.30
Ac2 0.5000 0.5110 0.5799  4 Au 3.27-3.30
Pr3 0.5000 0.1578 0.7851  3 Au 3.05-3.07
Pr4 0.0000 0.8382 0.7243  3 Au 3.00-3.19
Pr5 0.5000 0.6578 0.2149  3 Au 3.05-3.07
Au3 0.0000 0.2312 0.5719  3 Pr 3.05-3.19, 4 Ac 3.27-3.30
Au4 0.5000 0.7707 0.9333  7 Pr 3.00-3.30
Pr6 0.0000 0.4912 0.9304  4 Au 3.20-3.30

---

# 2
First-principles (GGA-PBE) data for a relaxed structure of Ac3Pr7Au4, as listed in Alexandria via LeMat-Bulk.

Summary:
DOS at the Fermi energy (states/eV/atom): 1.24
ΔE_f (eV per atom): -0.41
Space group: No. 12
Final energy (eV per atom): -4.618

abc: 5.1322 9.8447 10.0952
angles: 70.90 75.27 74.89
With the nearest neighbours (Å) after each atom.
Element x y z (fractional)
Pr1 0.0000 0.0000 0.0000  2 Au 3.19
Au1 0.3336 0.5642 0.7686  5 Pr 2.99-3.16
Ac1 0.6831 0.8159 0.8178  4 Au 3.63-3.85, 10 Pr 3.69-4.01
Au2 0.6664 0.4358 0.2314  5 Pr 2.99-3.16
Pr2 0.1650 0.5964 0.0736  3 Au 3.08-3.16
Pr3 0.5105 0.7605 0.2185  3 Au 3.05-3.16
Au3 0.1096 0.1205 0.6603  6 Pr 3.12-3.19
Pr4 0.6943 0.1509 0.4605  4 Au 2.99-3.19
Ac2 0.3169 0.1840 0.1822  4 Au 3.63-3.85, 10 Pr 3.69-4.01
Pr5 0.3057 0.8491 0.5395  4 Au 2.99-3.19
Pr6 0.4895 0.2395 0.7815  3 Au 3.05-3.16
Au4 0.8904 0.8795 0.3397  6 Pr 3.12-3.19
Ac3 0.0000 0.5000 0.5000  6 Au 3.51-3.84
Pr7 0.8350 0.4036 0.9264  3 Au 3.08-3.16

---

# 3
First-principles (GGA-PBE) data for a relaxed structure of AcPrAu, as listed in Alexandria via LeMat-Bulk.

Summary:
DOS at the Fermi energy (states/eV/atom): 0.94
ΔE_f (eV per atom): -0.36
Space group: No. 156
Final energy (eV per atom): -4.412

abc: 4.3140 5.1286 5.1286
angles: 120.00 90.00 90.00
With the nearest neighbours (Å) after each atom.
Element x y z (fractional)
Pr1 0.7617 0.6667 0.3333  3 Au 3.06
Ac1 0.2962 0.3333 0.6667  3 Au 3.33, 3 Pr 3.58
Au1 0.9421 0.0000 0.0000  3 Pr 3.06, 3 Ac 3.33

---

# 4
First-principles (GGA-PBE) data for a relaxed structure of AcPrAu4, as listed in Alexandria via LeMat-Bulk.

Summary:
DOS at the Fermi energy (states/eV/atom): 0.71
ΔE_f (eV per atom): -0.79
Space group: No. 47
Final energy (eV per atom): -4.454

abc: 3.8074 4.8785 8.2061
angles: 90.00 90.00 90.00
With the nearest neighbours (Å) after each atom.
Element x y z (fractional)
Ac1 0.9986 0.4973 0.9982  12 Au 3.33-3.40
Au1 0.4986 0.4973 0.3317  3 Au 2.73-2.78
Au2 0.4986 0.9973 0.8263  3 Au 2.78-2.82
Au3 0.4986 0.4973 0.6647  3 Au 2.73-2.78
Pr1 0.9986 0.9973 0.4981  12 Au 3.30-3.38
Au4 0.4986 0.9973 0.1700  3 Au 2.78-2.82

---

# 5
First-principles (GGA-PBE) data for a relaxed structure of AcPrAu, as listed in Alexandria via LeMat-Bulk.

Summary:
DOS at the Fermi energy (states/eV/atom): 1.95
ΔE_f (eV per atom): -0.33
Space group: No. 216
Final energy (eV per atom): -4.390

abc: 5.3178 5.3178 5.3178
angles: 60.00 60.00 60.00
With the nearest neighbours (Å) after each atom.
Element x y z (fractional)
Pr1 0.5000 0.5000 0.5000  4 Au 3.26
Ac1 0.0000 0.0000 0.0000  4 Au 3.26
Au1 0.2500 0.2500 0.2500  4 Pr 3.26, 4 Ac 3.26

---

# 6
First-principles (GGA-PBE) data for a relaxed structure of AcPrAu, as listed in Alexandria via LeMat-Bulk.

Summary:
DOS at the Fermi energy (states/eV/atom): 1.29
ΔE_f (eV per atom): -0.47
Space group: No. 107
Final energy (eV per atom): -4.523

abc: 3.8561 3.8561 7.1365
angles: 105.67 105.67 90.00
With the nearest neighbours (Å) after each atom.
Element x y z (fractional)
Ac1 0.0215 0.0215 0.0429  4 Au 3.40, 1 Pr 3.72
Pr1 0.3036 0.3036 0.6073  4 Au 3.21
Au1 0.6749 0.6749 0.3498  4 Pr 3.21, 4 Ac 3.40

---

# 7
First-principles (GGA-PBE) data for a relaxed structure of Ac2Pr12Au7, as listed in Alexandria via LeMat-Bulk.

Summary:
DOS at the Fermi energy (states/eV/atom): 1.02
ΔE_f (eV per atom): -0.49
Space group: No. 174
Final energy (eV per atom): -4.707

abc: 4.9936 12.3668 12.3668
angles: 120.00 90.00 90.00
With the nearest neighbours (Å) after each atom.
Element x y z (fractional)
Pr1 0.0000 0.4422 0.4980  4 Au 2.99-3.07
Pr2 0.0000 0.0558 0.5578  4 Au 2.99-3.07
Pr3 0.5000 0.2129 0.4528  3 Au 3.14-3.39
Pr4 0.0000 0.7595 0.7484  2 Au 2.94-2.95
Pr5 0.5000 0.8720 0.6098  4 Au 2.98-3.15
Au1 0.0000 0.3333 0.6667  3 Pr 2.99
Ac1 0.0000 0.6667 0.3333  6 Au 3.91, 9 Pr 3.96-4.18
Au2 0.0000 0.7655 0.9889  5 Pr 2.94-3.15
Ac2 0.5000 0.0000 0.0000  6 Au 3.78, 6 Pr 3.94
Pr6 0.5000 0.7379 0.1280  4 Au 2.98-3.15
Pr7 0.5000 0.3902 0.2621  4 Au 2.98-3.15
Pr8 0.0000 0.9890 0.2405  2 Au 2.94-2.95
Pr9 0.5000 0.5472 0.7602  3 Au 3.14-3.39
Pr10 0.0000 0.2516 0.0110  2 Au 2.94-2.95
Au3 0.5000 0.9358 0.3965  5 Pr 2.98-3.14
Pr11 0.0000 0.5020 0.9442  4 Au 2.99-3.07
Au4 0.0000 0.0111 0.7766  5 Pr 2.94-3.15
Au5 0.0000 0.2234 0.2345  5 Pr 2.94-3.15
Au6 0.5000 0.4607 0.0642  5 Pr 2.98-3.14
Pr12 0.5000 0.2398 0.7871  3 Au 3.14-3.39
Au7 0.5000 0.6035 0.5393  5 Pr 2.98-3.14

---

# 8
First-principles (GGA-PBE) data for a relaxed structure of AcPr2Au2, as listed in Alexandria via LeMat-Bulk.

Summary:
DOS at the Fermi energy (states/eV/atom): 1.10
ΔE_f (eV per atom): -0.60
Space group: No. 127
Final energy (eV per atom): -4.648

abc: 4.0091 8.6249 8.6249
angles: 90.00 90.00 90.00
With the nearest neighbours (Å) after each atom.
Element x y z (fractional)
Pr1 0.0000 0.8386 0.8386  6 Au 3.21-3.27
Pr2 0.0000 0.1614 0.1614  6 Au 3.21-3.27
Pr3 0.0000 0.3386 0.6614  6 Au 3.21-3.27
Pr4 0.0000 0.6614 0.3386  6 Au 3.21-3.27
Au1 0.5000 0.6271 0.6271  1 Au 3.10, 6 Pr 3.21-3.27, 2 Ac 3.40
Ac1 0.5000 0.0000 0.5000  4 Au 3.40
Au2 0.5000 0.1271 0.8729  1 Au 3.10, 6 Pr 3.21-3.27, 2 Ac 3.40
Au3 0.5000 0.8729 0.1271  1 Au 3.10, 6 Pr 3.21-3.27, 2 Ac 3.40
Ac2 0.5000 0.5000 0.0000  4 Au 3.40
Au4 0.5000 0.3729 0.3729  1 Au 3.10, 6 Pr 3.21-3.27, 2 Ac 3.40

---

# 9
First-principles (GGA-PBE) data for a relaxed structure of AcPr4Au2, as listed in Alexandria via LeMat-Bulk.

Summary:
DOS at the Fermi energy (states/eV/atom): 1.43
ΔE_f (eV per atom): -0.38
Space group: No. 11
Final energy (eV per atom): -4.633

abc: 6.8905 8.0587 8.7068
angles: 110.82 90.00 90.00
With the nearest neighbours (Å) after each atom.
Element x y z (fractional)
Pr1 0.2500 0.9830 0.6061  1 Au 2.93
Pr2 0.2500 0.2399 0.3549  2 Au 2.98-3.20
Pr3 0.0094 0.6016 0.2400  4 Au 3.19-3.44, 1 Pr 3.32
Pr4 0.9906 0.3984 0.7600  4 Au 3.19-3.44, 1 Pr 3.32
Pr5 0.7500 0.0170 0.3939  1 Au 2.93
Au1 0.2500 0.2647 0.9963  6 Pr 3.19-3.35, 1 Ac 3.23
Pr6 0.4906 0.6016 0.2400  4 Au 3.19-3.44, 1 Pr 3.32
Au2 0.7500 0.7353 0.0037  6 Pr 3.19-3.35, 1 Ac 3.23
Pr7 0.7500 0.7601 0.6451  2 Au 2.98-3.20
Au3 0.7500 0.3865 0.4100  4 Pr 2.93-3.20, 1 Ac 3.25
Ac1 0.7500 0.1428 0.0212  4 Au 3.23-3.61, 1 Pr 3.61
Au4 0.2500 0.6135 0.5900  4 Pr 2.93-3.20, 1 Ac 3.25
Pr8 0.5094 0.3984 0.7600  4 Au 3.19-3.44, 1 Pr 3.32
Ac2 0.2500 0.8572 0.9788  4 Au 3.23-3.61, 1 Pr 3.61

---

# 10
First-principles (GGA-PBE) data for a relaxed structure of Ac2Pr3Au4, as listed in Alexandria via LeMat-Bulk.

Summary:
DOS at the Fermi energy (states/eV/atom): 0.96
ΔE_f (eV per atom): -0.69
Space group: No. 14
Final energy (eV per atom): -4.654

abc: 8.7792 8.2040 7.9758
angles: 90.00 90.00 109.52
With the nearest neighbours (Å) after each atom.
Element x y z (fractional)
Ac1 0.5957 0.1946 0.3280  5 Au 3.32-3.45
Pr1 0.5000 0.5000 0.0000  6 Au 3.13-3.44
Au1 0.8762 0.5119 0.1320  1 Au 3.08, 5 Pr 3.09-3.44, 2 Ac 3.32-3.37
Au2 0.8815 0.0983 0.5430  4 Pr 3.06-3.19, 1 Au 3.11, 2 Ac 3.34-3.36
Au3 0.6238 0.4881 0.6320  1 Au 3.08, 5 Pr 3.09-3.44, 2 Ac 3.32-3.37
Au4 0.3815 0.0983 0.9570  4 Pr 3.06-3.19, 1 Au 3.11, 2 Ac 3.34-3.36
Pr2 0.0000 0.5000 0.5000  6 Au 3.13-3.44
Au5 0.1185 0.9017 0.4570  4 Pr 3.06-3.19, 1 Au 3.11, 2 Ac 3.34-3.36
Pr3 0.2529 0.2423 0.6508  6 Au 3.06-3.21
Ac2 0.4043 0.8054 0.6720  5 Au 3.32-3.45
Ac3 0.0957 0.1946 0.1720  5 Au 3.32-3.45
Pr4 0.7529 0.2423 0.8492  6 Au 3.06-3.21
Au6 0.3762 0.5119 0.3680  1 Au 3.08, 5 Pr 3.09-3.44, 2 Ac 3.32-3.37
Pr5 0.2471 0.7577 0.1508  6 Au 3.06-3.21
Pr6 0.7471 0.7577 0.3492  6 Au 3.06-3.21
Au7 0.6185 0.9017 0.0430  4 Pr 3.06-3.19, 1 Au 3.11, 2 Ac 3.34-3.36
Au8 0.1238 0.4881 0.8680  1 Au 3.08, 5 Pr 3.09-3.44, 2 Ac 3.32-3.37
Ac4 0.9043 0.8054 0.8280  5 Au 3.32-3.45

---

# 11
First-principles (GGA-PBE) data for a relaxed structure of AcPr3Au2, as listed in Alexandria via LeMat-Bulk.

Summary:
DOS at the Fermi energy (states/eV/atom): 1.01
ΔE_f (eV per atom): -0.46
Space group: No. 12
Final energy (eV per atom): -4.624

abc: 5.3824 9.6251 9.1414
angles: 122.98 90.00 106.24
With the nearest neighbours (Å) after each atom.
Element x y z (fractional)
Ac1 0.1298 0.2597 0.0603  5 Au 3.36-3.56, 3 Pr 3.67-3.70
Pr1 0.3026 0.6053 0.6127  2 Au 2.97-3.11, 2 Pr 3.28
Au1 0.5022 0.0043 0.1602  1 Au 2.88, 2 Pr 2.97-2.98
Ac2 0.8702 0.7403 0.9397  5 Au 3.36-3.56, 3 Pr 3.67-3.70
Au2 0.7784 0.5568 0.1684  5 Pr 3.09-3.34, 1 Ac 3.36
Pr2 0.0637 0.1274 0.4062  3 Au 3.27-3.28, 1 Pr 3.62
Pr3 0.3773 0.7545 0.2677  3 Au 2.98-3.09
Au3 0.4978 0.9957 0.8398  1 Au 2.88, 2 Pr 2.97-2.98
Pr4 0.9363 0.8726 0.5938  3 Au 3.27-3.28, 1 Pr 3.62
Pr5 0.6227 0.2455 0.7323  3 Au 2.98-3.09
Pr6 0.6974 0.3947 0.3873  2 Au 2.97-3.11, 2 Pr 3.28
Au4 0.2216 0.4432 0.8316  5 Pr 3.09-3.34, 1 Ac 3.36

---

# 12
First-principles (GGA-PBE) data for a relaxed structure of Ac2PrAu6, as listed in Alexandria via LeMat-Bulk.

Summary:
DOS at the Fermi energy (states/eV/atom): 0.74
ΔE_f (eV per atom): -0.80
Space group: No. 191
Final energy (eV per atom): -4.425

abc: 3.8383 8.3569 8.3570
angles: 120.00 90.00 90.00
With the nearest neighbours (Å) after each atom.
Element x y z (fractional)
Au1 0.5000 0.6684 0.0000  3 Au 2.77-2.82
Au2 0.5000 0.0000 0.3316  3 Au 2.77-2.82
Au3 0.5000 0.0000 0.6684  3 Au 2.77-2.82
Ac1 0.0000 0.3333 0.6667  12 Au 3.39
Au4 0.5000 0.3316 0.0000  3 Au 2.77-2.82
Au5 0.5000 0.6684 0.6684  3 Au 2.77-2.82
Ac2 0.0000 0.6667 0.3333  12 Au 3.39
Pr1 0.0000 0.0000 0.0000  12 Au 3.37
Au6 0.5000 0.3316 0.3316  3 Au 2.77-2.82

---

Q: What is the DOS at the Fermi energy in the ninth record?
A: 1.43 states/eV/atom

---

Q: Look up the DOS at the Fermi energy of the eighth one.
A: 1.10 states/eV/atom

---

Copy entry 3 word for word.
First-principles (GGA-PBE) data for a relaxed structure of AcPrAu, as listed in Alexandria via LeMat-Bulk.

Summary:
DOS at the Fermi energy (states/eV/atom): 0.94
ΔE_f (eV per atom): -0.36
Space group: No. 156
Final energy (eV per atom): -4.412

abc: 4.3140 5.1286 5.1286
angles: 120.00 90.00 90.00
With the nearest neighbours (Å) after each atom.
Element x y z (fractional)
Pr1 0.7617 0.6667 0.3333  3 Au 3.06
Ac1 0.2962 0.3333 0.6667  3 Au 3.33, 3 Pr 3.58
Au1 0.9421 0.0000 0.0000  3 Pr 3.06, 3 Ac 3.33